# 1
# GGA-PBE AsIr2Au, optimized geometry
data_AsIr2Au
_symmetry_space_group_name_H-M 'F -4 3 m'
_symmetry_Int_Tables_number 216
_symmetry_space_group_name_Hall 'F -4 2 3'
_cell_length_a 6.368
_cell_length_b 6.368
_cell_length_c 6.368
_cell_angle_alpha 90.00
_cell_angle_beta 90.00
_cell_angle_gamma 90.00
loop_
_atom_site_label
_atom_site_fract_x
_atom_site_fract_y
_atom_site_fract_z
As1 0.000 0.000 0.000
Ir1 0.000 0.000 0.500
Ir2 0.250 0.250 0.750
Au1 0.250 0.250 0.250
# Calculated volume   258.3 Å³/cell
# Total DFT energy (no corrections)   -5.91 eV per atom

---

# 2
# GGA-PBE ZrW, optimized geometry
data_ZrW
_symmetry_space_group_name_H-M 'C m m m'
_symmetry_Int_Tables_number 65
_symmetry_space_group_name_Hall '-C 2 2'
_cell_length_a 3.309
_cell_length_b 4.751
_cell_length_c 4.737
_cell_angle_alpha 90.00
_cell_angle_beta 90.00
_cell_angle_gamma 90.00
loop_
_atom_site_label
_atom_site_fract_x
_atom_site_fract_y
_atom_site_fract_z
Zr1 0.000 0.000 0.000
W1 0.000 0.500 0.500
# Calculated volume   74.5 Å³/cell
# Total DFT energy (no corrections)   -10.55 eV per atom
# ΔE_f   0.207 eV per atom

---

# 3
# GGA-PBE TlFeCoMo, optimized geometry
data_TlFeCoMo
_symmetry_space_group_name_H-M 'F -4 3 m'
_symmetry_Int_Tables_number 216
_symmetry_space_group_name_Hall 'F -4 2 3'
_cell_length_a 6.154
_cell_length_b 6.154
_cell_length_c 6.154
_cell_angle_alpha 90.00
_cell_angle_beta 90.00
_cell_angle_gamma 90.00
loop_
_atom_site_label
_atom_site_fract_x
_atom_site_fract_y
_atom_site_fract_z
Tl1 0.000 0.000 0.000
Fe1 0.250 0.250 0.750
Co1 0.250 0.250 0.250
Mo1 0.000 0.000 0.500
# Calculated volume   233.0 Å³/cell
# Total DFT energy (no corrections)   -6.65 eV per atom
# Energy above the most stable polymorph in this dataset   0.000 eV per atom

---

# 4
# GGA-PBE NdZrGa4Ir2, optimized geometry
data_NdZrGa4Ir2
_symmetry_space_group_name_H-M 'A m m 2'
_symmetry_Int_Tables_number 38
_symmetry_space_group_name_Hall 'A 2 -2'
_cell_length_a 6.717
_cell_length_b 4.305
_cell_length_c 10.057
_cell_angle_alpha 90.00
_cell_angle_beta 90.00
_cell_angle_gamma 90.00
loop_
_atom_site_label
_atom_site_fract_x
_atom_site_fract_y
_atom_site_fract_z
Nd1 0.000 0.000 0.000
Zr1 0.500 0.000 0.835
Ga1 0.206 0.000 0.286
Ga2 0.309 0.000 0.554
Ir1 0.000 0.000 0.715
Ir2 0.500 0.000 0.122
# Calculated volume   290.8 Å³/cell
# Total DFT energy (no corrections)   -6.05 eV per atom

---

# 5
# GGA-PBE HgSbSeO, optimized geometry
data_HgSbSeO
_symmetry_space_group_name_H-M 'P 1 21 1'
_symmetry_Int_Tables_number 4
_symmetry_space_group_name_Hall 'P 2yb'
_cell_length_a 5.913
_cell_length_b 5.613
_cell_length_c 11.711
_cell_angle_alpha 90.00
_cell_angle_beta 101.61
_cell_angle_gamma 90.00
loop_
_atom_site_label
_atom_site_fract_x
_atom_site_fract_y
_atom_site_fract_z
Hg1 0.108 0.000 0.142
Hg2 0.364 0.802 0.980
Sb1 0.043 0.401 0.358
Sb2 0.487 0.884 0.413
Se1 0.186 0.270 0.771
Se2 0.347 0.377 0.216
O1 0.261 0.611 0.477
O2 0.295 0.139 0.485
# Calculated volume   380.7 Å³/cell
# Total DFT energy (no corrections)   -3.74 eV per atom
# Energy above the most stable polymorph in this dataset   0.000 eV per atom

---

# 6
# GGA-PBE CoIrCl6, optimized geometry
data_CoIrCl6
_symmetry_space_group_name_H-M 'C 1 2 1'
_symmetry_Int_Tables_number 5
_symmetry_space_group_name_Hall 'C 2y'
_cell_length_a 5.941
_cell_length_b 10.275
_cell_length_c 6.229
_cell_angle_alpha 90.00
_cell_angle_beta 108.19
_cell_angle_gamma 90.00
loop_
_atom_site_label
_atom_site_fract_x
_atom_site_fract_y
_atom_site_fract_z
Co1 0.000 0.000 0.000
Ir1 0.000 0.333 0.000
Cl1 0.217 0.161 0.216
Cl2 0.239 0.846 0.216
Cl3 0.245 0.993 0.785
# Calculated volume   361.2 Å³/cell
# Total DFT energy (no corrections)   -3.92 eV per atom

---

# 7
# GGA-PBE CsZrAg3O4, optimized geometry
data_CsZrAg3O4
_symmetry_space_group_name_H-M 'P -4 3 m'
_symmetry_Int_Tables_number 215
_symmetry_space_group_name_Hall 'P -4 2 3'
_cell_length_a 5.778
_cell_length_b 5.778
_cell_length_c 5.778
_cell_angle_alpha 90.00
_cell_angle_beta 90.00
_cell_angle_gamma 90.00
loop_
_atom_site_label
_atom_site_fract_x
_atom_site_fract_y
_atom_site_fract_z
Cs1 0.000 0.000 0.000
Zr1 0.500 0.500 0.500
Ag1 0.000 0.500 0.500
O1 0.298 0.298 0.298
# Calculated volume   192.9 Å³/cell
# Total DFT energy (no corrections)   -5.36 eV per atom

---

# 8
# GGA-PBE BeSiTc, optimized geometry
data_BeSiTc
_symmetry_space_group_name_H-M 'F -4 3 m'
_symmetry_Int_Tables_number 216
_symmetry_space_group_name_Hall 'F -4 2 3'
_cell_length_a 5.479
_cell_length_b 5.479
_cell_length_c 5.479
_cell_angle_alpha 90.00
_cell_angle_beta 90.00
_cell_angle_gamma 90.00
loop_
_atom_site_label
_atom_site_fract_x
_atom_site_fract_y
_atom_site_fract_z
Be1 0.000 0.000 0.000
Si1 0.250 0.250 0.250
Tc1 0.000 0.000 0.500
# Calculated volume   164.4 Å³/cell
# Total DFT energy (no corrections)   -6.49 eV per atom
# Energy above the most stable polymorph in this dataset   0.000 eV per atom

---

# 9
# GGA-PBE Ho2MoN, optimized geometry
data_Ho2MoN
_symmetry_space_group_name_H-M 'P 4/m m m'
_symmetry_Int_Tables_number 123
_symmetry_space_group_name_Hall '-P 4 2'
_cell_length_a 3.764
_cell_length_b 3.764
_cell_length_c 5.344
_cell_angle_alpha 90.00
_cell_angle_beta 90.00
_cell_angle_gamma 90.00
loop_
_atom_site_label
_atom_site_fract_x
_atom_site_fract_y
_atom_site_fract_z
Ho1 0.000 0.000 0.000
Ho2 0.500 0.500 0.500
Mo1 0.000 0.000 0.500
N1 0.500 0.500 0.000
# Calculated volume   75.7 Å³/cell
# Total DFT energy (no corrections)   -6.65 eV per atom

---

# 10
# GGA-PBE PmCuMo, optimized geometry
data_PmCuMo
_symmetry_space_group_name_H-M 'F -4 3 m'
_symmetry_Int_Tables_number 216
_symmetry_space_group_name_Hall 'F -4 2 3'
_cell_length_a 6.401
_cell_length_b 6.401
_cell_length_c 6.401
_cell_angle_alpha 90.00
_cell_angle_beta 90.00
_cell_angle_gamma 90.00
loop_
_atom_site_label
_atom_site_fract_x
_atom_site_fract_y
_atom_site_fract_z
Pm1 0.000 0.000 0.000
Cu1 0.250 0.250 0.750
Mo1 0.000 0.000 0.500
# Calculated volume   262.3 Å³/cell
# Total DFT energy (no corrections)   -5.65 eV per atom
# ΔE_f   0.785 eV per atom
# Energy above the most stable polymorph in this dataset   0.000 eV per atom

---

# 11
# GGA-PBE Li2La2In2CuAg, optimized geometry
data_Li2La2In2CuAg
_symmetry_space_group_name_H-M 'P -4 m 2'
_symmetry_Int_Tables_number 115
_symmetry_space_group_name_Hall 'P -4 -2'
_cell_length_a 4.960
_cell_length_b 4.960
_cell_length_c 7.053
_cell_angle_alpha 90.00
_cell_angle_beta 90.00
_cell_angle_gamma 90.00
loop_
_atom_site_label
_atom_site_fract_x
_atom_site_fract_y
_atom_site_fract_z
Li1 0.000 0.000 0.000
Li2 0.500 0.500 0.500
La1 0.000 0.500 0.739
In1 0.000 0.500 0.255
Cu1 0.000 0.000 0.500
Ag1 0.500 0.500 0.000
# Calculated volume   173.5 Å³/cell
# Total DFT energy (no corrections)   -3.58 eV per atom

---

# 12
# GGA-PBE SrZnSO, optimized geometry
data_SrZnSO
_symmetry_space_group_name_H-M 'P n m a'
_symmetry_Int_Tables_number 62
_symmetry_space_group_name_Hall '-P 2ac 2n'
_cell_length_a 7.166
_cell_length_b 3.502
_cell_length_c 12.078
_cell_angle_alpha 90.00
_cell_angle_beta 90.00
_cell_angle_gamma 90.00
loop_
_atom_site_label
_atom_site_fract_x
_atom_site_fract_y
_atom_site_fract_z
Sr1 0.066 0.250 0.217
Zn1 0.183 0.750 0.452
S1 0.143 0.250 0.617
O1 0.224 0.750 0.880
# Calculated volume   303.1 Å³/cell
# Total DFT energy (no corrections)   -4.52 eV per atom